Record 1
Density functional theory data (PBEsol) for an optimized crystal structure of Li2IBr2.

abc: 3.895 3.895 9.970
angles: 101.26 101.26 90.00
Sites, in units of the cell vectors:
Br (0.673, 0.673, 0.347)
Br (0.327, 0.327, 0.653)
Li (0.750, 0.250, 0.500)
Li (0.250, 0.750, 0.500)
I (0.000, 0.000, 0.000)

Output
VASP energy	-2.865	eV/atom
relative energy among the computed polymorphs	0	meV per atom
density of states at the Fermi level	2.006	states/eV/cell

***

Record 2
Density functional theory data (PBEsol) for an optimized crystal structure of LiIBr2.

abc: 6.510 6.510 6.510
angles: 114.01 107.25 107.25
Sites, in units of the cell vectors:
I (0.000, 0.000, 0.000)
I (0.500, 0.750, 0.250)
Br (0.069, 0.194, 0.625)
Br (0.931, 0.556, 0.125)
Br (0.431, 0.875, 0.806)
Br (0.569, 0.375, 0.444)
Li (0.000, 0.500, 0.500)
Li (0.500, 0.250, 0.750)

Output
VASP energy	-2.315	eV/atom
relative energy among the computed polymorphs	308	meV per atom
density of states at the Fermi level	8.705	states/eV/cell

***

Record 3
Density functional theory data (PBEsol) for an optimized crystal structure of Mg3IBr.

abc: 5.889 5.889 5.889
angles: 90.00 90.00 90.00
Sites, in units of the cell vectors:
Br (0.500, 0.500, 0.500)
Mg (0.500, 0.000, 0.000)
Mg (0.000, 0.000, 0.500)
Mg (0.000, 0.500, 0.000)
I (0.000, 0.000, 0.000)

Output
VASP energy	-1.408	eV/atom
density of states at the Fermi level	4.054	states/eV/cell

***

Summary of formation energy (no corrections) in meV/atom
-977 -447 349
(order as listed above)